(1)
Density functional theory data (PBE-GGA) for a relaxed FeCoMoAs crystal.

mass density	8.98	g/cm3
total magnetic moment	3.5	μB per formula unit
energy above the most stable polymorph in this dataset	0	meV per atom

Cell lengths 4.2118, 4.2118, 4.2118 Å; angles 60.00, 60.00, 60.00 degrees
Closest atoms and distances in Å follow each position.
Positions (direct):
As1 0.0000 0.0000 0.0000  4 Mo 2.58, 4 Co 2.58
Co1 0.7500 0.7500 0.7500  4 Fe 2.58, 4 As 2.58
Fe1 0.5000 0.5000 0.5000  4 Co 2.58, 4 Mo 2.58
Mo1 0.2500 0.2500 0.2500  4 As 2.58, 4 Fe 2.58

***

(2)
Density functional theory data (PBE-GGA) for a relaxed FeCoMoAs crystal.

mass density	9.23	g/cm3
total magnetic moment	1.3	μB per formula unit
energy above the most stable polymorph in this dataset	43	meV per atom

Cell lengths 4.1726, 4.1726, 4.1726 Å; angles 60.00, 60.00, 60.00 degrees
Closest atoms and distances in Å follow each position.
Positions (direct):
As1 0.0000 0.0000 0.0000  4 Mo 2.56, 4 Fe 2.56
Co1 0.5000 0.5000 0.5000  4 Mo 2.56, 4 Fe 2.56
Fe1 0.7500 0.7500 0.7500  4 As 2.56, 4 Co 2.56
Mo1 0.2500 0.2500 0.2500  4 As 2.56, 4 Co 2.56

***

(3)
Density functional theory data (PBE-GGA) for a relaxed FeCoAsOs crystal.

mass density	12.20	g/cm3
total magnetic moment	4.3	μB per formula unit
energy above the most stable polymorph in this dataset	0	meV per atom

Cell lengths 4.1823, 4.1823, 4.1823 Å; angles 60.00, 60.00, 60.00 degrees
Closest atoms and distances in Å follow each position.
Positions (direct):
As1 0.0000 0.0000 0.0000  4 Co 2.56, 4 Os 2.56
Co1 0.7500 0.7500 0.7500  4 As 2.56, 4 Fe 2.56
Fe1 0.5000 0.5000 0.5000  4 Co 2.56, 4 Os 2.56
Os1 0.2500 0.2500 0.2500  4 As 2.56, 4 Fe 2.56

***

(4)
Density functional theory data (PBE-GGA) for a relaxed FeCoAsPd crystal.

mass density	9.30	g/cm3
total magnetic moment	3.8	μB per formula unit
energy above the most stable polymorph in this dataset	0	meV per atom

Cell lengths 4.2123, 4.2123, 4.2123 Å; angles 60.00, 60.00, 60.00 degrees
Closest atoms and distances in Å follow each position.
Positions (direct):
As1 0.0000 0.0000 0.0000  4 Co 2.58, 4 Fe 2.58
Co1 0.7500 0.7500 0.7500  4 As 2.58, 4 Pd 2.58
Fe1 0.2500 0.2500 0.2500  4 As 2.58, 4 Pd 2.58
Pd1 0.5000 0.5000 0.5000  4 Fe 2.58, 4 Co 2.58

***

(5)
Density functional theory data (PBE-GGA) for a relaxed FeCoAsPt crystal.

mass density	11.84	g/cm3
total magnetic moment	3.8	μB per formula unit
energy above the most stable polymorph in this dataset	0	meV per atom

Cell lengths 4.2418, 4.2418, 4.2418 Å; angles 60.00, 60.00, 60.00 degrees
Closest atoms and distances in Å follow each position.
Positions (direct):
As1 0.0000 0.0000 0.0000  4 Co 2.60, 4 Fe 2.60
Co1 0.7500 0.7500 0.7500  4 Pt 2.60, 4 As 2.60
Fe1 0.2500 0.2500 0.2500  4 Pt 2.60, 4 As 2.60
Pt1 0.5000 0.5000 0.5000  4 Co 2.60, 4 Fe 2.60

***

(6)
Density functional theory data (PBE-GGA) for a relaxed FeCoReAs crystal.

mass density	12.06	g/cm3
total magnetic moment	4.0	μB per formula unit
energy above the most stable polymorph in this dataset	0	meV per atom

Cell lengths 4.1832, 4.1832, 4.1832 Å; angles 60.00, 60.00, 60.00 degrees
Closest atoms and distances in Å follow each position.
Positions (direct):
As1 0.0000 0.0000 0.0000  4 Re 2.56, 4 Co 2.56
Co1 0.7500 0.7500 0.7500  4 Fe 2.56, 4 As 2.56
Fe1 0.5000 0.5000 0.5000  4 Co 2.56, 4 Re 2.56
Re1 0.2500 0.2500 0.2500  4 As 2.56, 4 Fe 2.56

***

(7)
Density functional theory data (PBE-GGA) for a relaxed ScFeCoAs crystal.

mass density	6.77	g/cm3
total magnetic moment	3.6	μB per formula unit
energy above the most stable polymorph in this dataset	143	meV per atom

Cell lengths 4.3331, 4.3331, 4.3331 Å; angles 60.00, 60.00, 60.00 degrees
Closest atoms and distances in Å follow each position.
Positions (direct):
As1 0.0000 0.0000 0.0000  4 Fe 2.65, 4 Sc 2.65
Co1 0.5000 0.5000 0.5000  4 Fe 2.65, 4 Sc 2.65
Fe1 0.2500 0.2500 0.2500  4 Co 2.65, 4 As 2.65
Sc1 0.7500 0.7500 0.7500  4 Co 2.65, 4 As 2.65

***

(8)
Density functional theory data (PBE-GGA) for a relaxed ScFeCoAs crystal.

mass density	7.53	g/cm3
total magnetic moment	1.0	μB per formula unit
energy above the most stable polymorph in this dataset	0	meV per atom

Cell lengths 4.1835, 4.1835, 4.1835 Å; angles 60.00, 60.00, 60.00 degrees
Closest atoms and distances in Å follow each position.
Positions (direct):
As1 0.0000 0.0000 0.0000  4 Fe 2.56, 4 Co 2.56
Co1 0.2500 0.2500 0.2500  4 Sc 2.56, 4 As 2.56
Fe1 0.7500 0.7500 0.7500  4 As 2.56, 4 Sc 2.56
Sc1 0.5000 0.5000 0.5000  4 Co 2.56, 4 Fe 2.56

***

(9)
Density functional theory data (PBE-GGA) for a relaxed ScFeCoAs crystal.

mass density	6.80	g/cm3
total magnetic moment	3.5	μB per formula unit
energy above the most stable polymorph in this dataset	160	meV per atom

Cell lengths 4.3280, 4.3280, 4.3280 Å; angles 60.00, 60.00, 60.00 degrees
Closest atoms and distances in Å follow each position.
Positions (direct):
As1 0.2500 0.2500 0.2500  4 Co 2.65, 4 Sc 2.65
Co1 0.0000 0.0000 0.0000  4 As 2.65, 4 Fe 2.65
Fe1 0.7500 0.7500 0.7500  4 Sc 2.65, 4 Co 2.65
Sc1 0.5000 0.5000 0.5000  4 Fe 2.65, 4 As 2.65

***

(10)
Density functional theory data (PBE-GGA) for a relaxed FeCoTcAs crystal.

mass density	9.29	g/cm3
total magnetic moment	4.4	μB per formula unit
energy above the most stable polymorph in this dataset	0	meV per atom

Cell lengths 4.1739, 4.1739, 4.1739 Å; angles 60.00, 60.00, 60.00 degrees
Closest atoms and distances in Å follow each position.
Positions (direct):
As1 0.0000 0.0000 0.0000  4 Co 2.56, 4 Tc 2.56
Co1 0.7500 0.7500 0.7500  4 As 2.56, 4 Fe 2.56
Fe1 0.5000 0.5000 0.5000  4 Co 2.56, 4 Tc 2.56
Tc1 0.2500 0.2500 0.2500  4 Fe 2.56, 4 As 2.56

***

(11)
Density functional theory data (PBE-GGA) for a relaxed YFeCoAs crystal.

mass density	6.98	g/cm3
total magnetic moment	4.0	μB per formula unit
energy above the most stable polymorph in this dataset	83	meV per atom

Cell lengths 4.5430, 4.5430, 4.5430 Å; angles 60.00, 60.00, 60.00 degrees
Closest atoms and distances in Å follow each position.
Positions (direct):
As1 0.0000 0.0000 0.0000  4 Co 2.78, 4 Y 2.78
Co1 0.7500 0.7500 0.7500  4 As 2.78, 4 Fe 2.78
Fe1 0.5000 0.5000 0.5000  4 Co 2.78, 4 Y 2.78
Y1 0.2500 0.2500 0.2500  4 Fe 2.78, 4 As 2.78

***

(12)
Density functional theory data (PBE-GGA) for a relaxed YFeCoAs crystal.

mass density	7.93	g/cm3
total magnetic moment	1.0	μB per formula unit
energy above the most stable polymorph in this dataset	0	meV per atom

Cell lengths 4.3533, 4.3533, 4.3533 Å; angles 60.00, 60.00, 60.00 degrees
Closest atoms and distances in Å follow each position.
Positions (direct):
As1 0.0000 0.0000 0.0000  4 Fe 2.67, 4 Co 2.67
Co1 0.7500 0.7500 0.7500  4 As 2.67, 4 Y 2.67
Fe1 0.2500 0.2500 0.2500  4 Y 2.67, 4 As 2.67
Y1 0.5000 0.5000 0.5000  4 Co 2.67, 4 Fe 2.67